No. 1
MgScInCl6 | Alexandria | PBE | optimized geometry; uncorrected formation energy = -1.754 eV per atom; mass density = 2.50 g/cm3; symmetry = P-31c, No. 163; uncorrected energy = -4.17 eV/atom
1.0
6.5739 0.0000 0.0000
-3.2869 5.6931 0.0000
0.0000 0.0000 14.1089
Mg Sc In Cl
2 2 2 12
Direct
0.3333 0.6667 0.2500
0.6667 0.3333 0.7500
0.6667 0.3333 0.2500
0.3333 0.6667 0.7500
0.0000 0.0000 0.0000
0.0000 0.0000 0.5000
0.6272 0.6253 0.1484
0.9981 0.3728 0.1484
0.3728 0.9981 0.6484
0.0019 0.6272 0.8516
0.3747 0.3728 0.3516
0.9981 0.6253 0.3516
0.6253 0.9981 0.8516
0.6272 0.0019 0.3516
0.0019 0.3747 0.6484
0.3747 0.0019 0.1484
0.6253 0.6272 0.6484
0.3728 0.3747 0.8516

---

No. 2
SmMgInCl6 | Alexandria | PBE | optimized geometry; uncorrected formation energy = -1.817 eV per atom; mass density = 2.92 g/cm3; symmetry = P-31c, No. 163; uncorrected energy = -4.05 eV/atom
1.0
-0.1632 -2.4300 -6.4404
-5.4894 -0.7239 4.0930
-4.9417 12.1858 -4.4725
Sm Mg In Cl
2 2 2 12
Direct
0.6667 0.3333 0.2500
0.3333 0.6667 0.7500
0.3333 0.6667 0.2500
0.6667 0.3333 0.7500
0.0000 0.0000 0.0000
0.0000 0.0000 0.5000
0.6173 0.6369 0.1433
0.0196 0.3827 0.1433
0.3827 0.0196 0.6433
0.9804 0.6173 0.8567
0.3631 0.3827 0.3567
0.0196 0.6369 0.3567
0.6369 0.0196 0.8567
0.6173 0.9804 0.3567
0.9804 0.3631 0.6433
0.3631 0.9804 0.1433
0.6369 0.6173 0.6433
0.3827 0.3631 0.8567

---

No. 3
MgInSnCl5 | Alexandria | PBE | optimized geometry; uncorrected formation energy = -1.222 eV per atom; mass density = 2.87 g/cm3; symmetry = C2/c, No. 15; uncorrected energy = -3.42 eV/atom
1.0
-0.9219 5.7633 4.5581
-6.5147 0.5923 -3.4713
0.4327 -9.2461 5.6531
Mg In Sn Cl
2 2 2 10
Direct
0.0000 0.0000 0.5000
0.0000 0.0000 0.0000
0.3122 0.6878 0.2500
0.6878 0.3122 0.7500
0.7511 0.2489 0.2500
0.2489 0.7511 0.7500
0.0269 0.9731 0.2500
0.9731 0.0269 0.7500
0.9060 0.3179 0.0624
0.0940 0.6821 0.9376
0.6821 0.0940 0.4376
0.3179 0.9060 0.5624
0.8026 0.6399 0.4036
0.1974 0.3601 0.5964
0.3601 0.1974 0.0964
0.6399 0.8026 0.9036

---

No. 4
MgIn2SnCl6 | Alexandria | PBE | optimized geometry; uncorrected formation energy = -1.158 eV per atom; mass density = 3.31 g/cm3; symmetry = R3, No. 146; uncorrected energy = -3.37 eV/atom
1.0
-0.6284 -6.5692 -3.4782
4.3237 -1.5398 -5.8810
5.4463 -5.0737 0.5979
Mg In Sn Cl
1 2 1 6
Direct
0.3177 0.3178 0.0467
0.5417 0.5420 0.3746
0.0415 0.0414 0.8753
0.8166 0.8168 0.5500
0.5648 0.1519 0.2662
0.1515 0.0173 0.2667
0.0172 0.5655 0.2656
0.4849 0.6260 0.7896
0.6263 0.0985 0.7906
0.0994 0.4845 0.7898

---

Which formula does entry 3 have? MgInSnCl5

---

The lowest mass density belongs to which entry? MgScInCl6